This record from Alexandria describes a relaxed FeCu2Se crystal. The functional is PBE.

Cell lengths 6.031, 6.031, 6.031 Å; angles 90.00, 90.00, 90.00 degrees
Space group F-43m (No. 216)
Symmetry-distinct sites (fractional):
Fe 0.000 0.000 0.000
Cu 0.000 0.000 0.500
Cu 0.250 0.250 0.250
Se 0.250 0.250 0.750

Values from the calculation:
Energy relative to the elements, uncorrected: 1.264 eV per formula unit

=====

This record from Alexandria describes a relaxed Y2AsW crystal. The functional is PBE.

Cell lengths 7.948, 7.948, 5.895 Å; angles 90.00, 90.00, 90.00 degrees
Space group I-42d (No. 122)
Symmetry-distinct sites (fractional):
Y 0.233 0.250 0.125
As 0.000 0.000 0.000
W 0.000 0.000 0.500

Values from the calculation:
Calculated formation energy: 0.45 eV/atom

=====

This record from Alexandria describes a relaxed ZrAlTc2 crystal. The functional is PBE.

Cell lengths 2.935, 4.437, 5.215 Å; angles 90.00, 103.74, 90.00 degrees
Space group Pm (No. 6)
Symmetry-distinct sites (fractional):
Zr 0.000 0.000 0.000
Al 0.615 0.500 0.246
Tc 0.249 0.500 0.705
Tc 0.519 0.000 0.508

Values from the calculation:
Calculated formation energy: -0.20 eV/atom

=====

no.,spin magnetization (μB/cell),DFT total energy (eV/atom)
1,10.6,-4.7188
2,1.9,-7.1820
3,0.0,-8.4541